MnGaBRuSe | PBE | relaxed

The structure belongs to space group Pm (No. 6); the cell edges are 2.8968, 2.8743 and 8.4458 Å and the angles 90.00°, 99.63° and 90.00°. Symmetry generates all atoms from Mn at (0.0000, 0.0000, 0.0000), Ga at (0.2548, 0.0000, 0.4959), B at (0.4095, 0.0000, 0.8143), Ru at (0.8625, 0.5000, 0.7179) and Se at (0.5758, 0.5000, 0.1559).

As for the uncorrected formation energy: -0.137 eV/atom. The density of states at the Fermi level is 3.0 states/eV/cell. As for the crystal system: monoclinic. As for the calculated total energy: -6.46 eV/atom.